No. 1
VASP calculation (PBE-GGA) on a relaxed structure of Th4BTe2Se.

Computed properties:
E_tot = -6.80 eV/atom
Crystal system = monoclinic
Total moment = 0.000 μB per cell
ΔE_f (raw) = -1.035 eV/atom

abc: 7.343 4.144 7.743
angles: 90.00 107.74 90.00
Atoms (fractional coordinates):
1 Th 0.211 0.000 0.198
2 Th 0.238 0.500 0.791
3 Th 0.762 0.500 0.209
4 Th 0.789 0.000 0.802
5 B 0.000 0.500 0.000
6 Te 0.000 0.000 0.500
7 Te 0.500 0.500 0.500
8 Se 0.500 0.000 0.000

=====

No. 2
VASP calculation (PBE-GGA) on a relaxed structure of Er3Zn4Cd4.

Computed properties:
DFT formation energy = -0.2400 eV/atom
E_tot = -2.28 eV/atom
Crystal system = orthorhombic
Total moment = 0.000 μB per cell

abc: 8.666 8.666 8.666
angles: 152.14 127.96 60.06
Atoms (fractional coordinates):
1 Er 0.000 0.000 0.000
2 Er 0.381 0.881 0.500
3 Er 0.619 0.119 0.500
4 Zn 0.230 0.230 0.000
5 Zn 0.323 0.500 0.823
6 Zn 0.677 0.500 0.177
7 Zn 0.770 0.770 0.000
8 Cd 0.027 0.334 0.693
9 Cd 0.359 0.666 0.693
10 Cd 0.641 0.334 0.307
11 Cd 0.973 0.666 0.307